First-principles (PBE-GGA) data for a relaxed structure of Tb2CePm3N6, as listed in Alexandria via LeMat-Bulk.

The space group is C2/m (No. 12) and the conventional cell measures 6.168, 10.682 and 6.178 Å, with angles of 90.00, 109.43 and 90.00 degrees. The asymmetric unit holds Tb at (0.000, 0.166, 0.000), Ce at (0.000, 0.500, 0.000), Pm at (0.000, 0.000, 0.500), Pm at (0.000, 0.333, 0.500), N at (0.245, 0.335, 0.240) and N at (0.249, 0.500, 0.761).

Its uncorrected formation energy is -1.54 eV per atom. Its density of states at the Fermi level is 6.5 states/eV/cell. For the density, the calculation gives 8452 kg/m3.



First-principles (PBE-GGA) data for a relaxed structure of LiThSnPb, as listed in Alexandria via LeMat-Bulk.

The space group is F-43m (No. 216) and the conventional cell measures 7.562, 7.562 and 7.562 Å, with angles of 90.00, 90.00 and 90.00 degrees. The asymmetric unit holds Li at (0.000, 0.000, 0.000), Th at (0.000, 0.000, 0.500), Sn at (0.250, 0.250, 0.750) and Pb at (0.250, 0.250, 0.250).

The value obtained for the energy of formation is -0.228 eV/atom. Its density of states at the Fermi level is 12.9 states/eV/cell. For the density, the calculation gives 8675 kg/m3.



First-principles (PBE-GGA) data for a relaxed structure of Y2CdAg, as listed in Alexandria via LeMat-Bulk.

The space group is P4mm (No. 99) and the conventional cell measures 3.807, 3.807 and 7.084 Å, with angles of 90.00, 90.00 and 90.00 degrees. The asymmetric unit holds Y at (0.000, 0.000, 0.000), Y at (0.500, 0.500, 0.317), Cd at (0.500, 0.500, 0.764) and Ag at (0.000, 0.000, 0.542).

The value obtained for the energy of formation is -0.207 eV/atom. Its density of states at the Fermi level is 3.7 states/eV/cell. For the density, the calculation gives 6437 kg/m3.